# 1
Here is TbPuTe after structural relaxation from Alexandria. Energies are from PBE.

Computed properties:
density of states at the Fermi level = 9.590 states/eV/cell
excess energy over the best structure of this formula in the dataset = 0.0 meV per atom

Geometry as POSCAR:
```
TbPuTe
1.0
-1.964 1.964 5.558
1.964 -1.964 5.558
1.964 1.964 -5.558
Tb Pu Te
1 1 1
direct
0.000 0.000 0.000 Tb
0.692 0.692 0.000 Pu
0.356 0.356 0.000 Te
```

# 2
Here is TbPuTe6 after structural relaxation from Alexandria. Energies are from PBE.

Computed properties:
density of states at the Fermi level = 12.712 states/eV/cell

Geometry as POSCAR:
```
TbPuTe6
1.0
4.357 0.000 0.000
0.000 2.178 13.427
0.000 -2.178 13.427
Tb Pu Te
1 1 6
direct
0.000 0.000 0.000 Tb
0.500 0.345 0.345 Pu
0.000 0.253 0.253 Te
0.000 0.593 0.593 Te
0.000 0.878 0.878 Te
0.500 0.093 0.093 Te
0.500 0.465 0.465 Te
0.500 0.753 0.753 Te
```

# 3
Here is TbPuTe after structural relaxation from Alexandria. Energies are from PBE.

Computed properties:
density of states at the Fermi level = 9.006 states/eV/cell
excess energy over the best structure of this formula in the dataset = 184.3 meV per atom

Geometry as POSCAR:
```
TbPuTe
1.0
5.193 0.000 0.000
-2.596 4.497 0.000
0.000 0.000 3.834
Tb Pu Te
1 1 1
direct
0.000 0.000 0.000 Tb
0.667 0.333 0.500 Pu
0.333 0.667 0.000 Te
```

It is found that the electronic total energy values, taken in the order of the records, are -23.8, -44.4, -23.2 eV for the cell shown.
It is found that the E_form (uncorrected) values, taken in the order of the records, are -0.551, -0.818, -0.367 eV per atom.